A relaxed structure of NiWI2O. Source: Alexandria via LeMat-Bulk, functional GGA+U.

Geometry as POSCAR:
```
NiWI2O
1.0
5.7323 0.0000 0.0000
0.0000 5.7323 0.0000
0.0000 0.0000 3.6535
Ni W I O
1 1 2 1
direct
0.0000 0.0000 0.0000 Ni
0.5000 0.5000 0.5000 W
0.0000 0.5000 0.0000 I
0.5000 0.0000 0.0000 I
0.0000 0.0000 0.5000 O
```

Results
Energy relative to the lowest polymorph listed for this composition, kJ/mol of formula units: 155.4
V, Å³/atom: 24.01
Space-group type: P4/mmm (123)
D(E_F), states/eV/f.u.: 2.03
DFT total energy, eV/atom: -3.036
ρ, g/cm³: 7.09